Entry 1:
A plane-wave DFT calculation with PBE-GGA was carried out for crystalline LiCdSi2Te6 at its relaxed geometry.

Unit cell a=7.0459 b=10.1522 c=10.1522 alpha=90.42 beta=73.38 gamma=73.38
Atoms (fractional coordinates):
Li 0.7500 0.7685 0.2315
Cd 0.7500 0.1905 0.8095
Te 0.5329 0.4317 0.3136
Te 0.9671 0.6864 0.5683
Si 0.7713 0.2118 0.3716
Si 0.2287 0.7882 0.6284
Li 0.2500 0.2315 0.7685
Cd 0.2500 0.8095 0.1905
Te 0.3627 0.8999 0.4141
Te 0.4671 0.5683 0.6864
Te 0.1223 0.9727 0.8282
Te 0.8627 0.4141 0.8999
Si 0.7287 0.6284 0.7882
Si 0.2713 0.3716 0.2118
Te 0.1373 0.5859 0.1001
Te 0.8777 0.0273 0.1718
Te 0.0329 0.3136 0.4317
Te 0.3777 0.1718 0.0273
Te 0.6223 0.8282 0.9727
Te 0.6373 0.1001 0.5859

Calculated values
The calculation puts the calculated total energy at -0.1258 hartree per atom. As for the symmetry: C2/c (15). For the energy relative to the elements, uncorrected, the calculation gives -164 kJ/mol of formula units.



Entry 2:
A plane-wave DFT calculation with PBE-GGA was carried out for crystalline Li2CdSiTe4 at its relaxed geometry.

Unit cell a=8.3330 b=8.3330 c=8.6817 alpha=121.40 beta=121.40 gamma=90.59
Atoms (fractional coordinates):
Li 0.5000 0.0000 0.0000
Si 0.0000 0.0000 0.0000
Te 0.7426 0.7574 0.5210
Si 0.5000 0.5000 0.5000
Te 0.2688 0.7458 0.5073
Te 0.2458 0.7688 0.0073
Te 0.7542 0.2312 0.9927
Cd 0.0000 0.5000 0.5000
Cd 0.0000 0.5000 0.0000
Te 0.7426 0.7574 0.9790
Te 0.7311 0.2542 0.4927
Li 0.0000 0.0000 0.5000
Te 0.2574 0.2426 0.4790
Li 0.5000 0.5000 0.0000
Li 0.5000 0.0000 0.5000
Te 0.2574 0.2426 0.0210

Calculated values
The calculation puts the calculated total energy at -0.1175 hartree per atom. As for the symmetry: Imma (74). For the energy relative to the elements, uncorrected, the calculation gives -274 kJ/mol of formula units.



Entry 3:
A plane-wave DFT calculation with PBE-GGA was carried out for crystalline LiTmCdSi at its relaxed geometry.

Unit cell a=4.8451 b=4.8451 c=4.8451 alpha=60.00 beta=60.00 gamma=60.00
Atoms (fractional coordinates):
Tm 0.5000 0.5000 0.5000
Cd 0.2500 0.2500 0.2500
Li 0.0000 0.0000 0.0000
Si 0.7500 0.7500 0.7500

Calculated values
The calculation puts the calculated total energy at -0.1280 hartree per atom. As for the symmetry: F-43m (216). For the energy relative to the elements, uncorrected, the calculation gives -116 kJ/mol of formula units.